Compound: PmTmAu
Source: the Alexandria database
Functional: PBE
Structure: relaxed

Lattice parameters (Å, degrees): 4.911 4.911 8.954 74.08 74.08 60.00
Element x y z (fractional)
Pm 0.124 0.124 0.629
Pm 0.876 0.876 0.371
Tm 0.627 0.627 0.118
Tm 0.373 0.373 0.882
Au 0.743 0.743 0.770
Au 0.257 0.257 0.230

Calculated values
The value obtained for the spin magnetization is 0.0 μB/f.u. The density of states at the Fermi level is 6.69 states/eV per cell. Its crystal system is trigonal. As for the symmetry: R-3m. The calculation puts the excess energy over the best structure of this formula in the dataset at 138 meV per atom.

Compound: Pm2TmAu
Source: the Alexandria database
Functional: PBE
Structure: relaxed

Lattice parameters (Å, degrees): 3.728 3.728 10.318 79.59 79.59 60.00
Element x y z (fractional)
Pm 0.073 0.073 0.781
Pm 0.261 0.261 0.218
Tm 0.500 0.500 0.501
Au 0.667 0.667 0.999

Calculated values
The value obtained for the spin magnetization is 0.0 μB/f.u. The density of states at the Fermi level is 5.51 states/eV per cell. Its crystal system is trigonal. As for the symmetry: R3m. The calculation puts the excess energy over the best structure of this formula in the dataset at 111 meV per atom.

Compound: PmTm4Au2
Source: the Alexandria database
Functional: PBE
Structure: relaxed

Lattice parameters (Å, degrees): 4.845 4.845 10.642 76.84 76.84 60.00
Element x y z (fractional)
Pm 0.500 0.500 0.500
Tm 0.700 0.700 0.899
Tm 0.901 0.901 0.297
Tm 0.300 0.300 0.101
Tm 0.099 0.099 0.703
Au 0.603 0.603 0.191
Au 0.397 0.397 0.809

Calculated values
The value obtained for the spin magnetization is 0.0 μB/f.u. The density of states at the Fermi level is 8.22 states/eV per cell. Its crystal system is trigonal. As for the symmetry: R-3m. The value obtained for the final energy is -4.455 eV/atom.

Compound: Pm2TmAu
Source: the Alexandria database
Functional: PBE
Structure: relaxed

Lattice parameters (Å, degrees): 3.712 3.712 8.400 90.00 90.00 90.00
Element x y z (fractional)
Tm 0.500 0.500 0.500
Au 0.500 0.500 0.000
Pm 0.000 0.000 0.786
Pm 0.000 0.000 0.214

Calculated values
The value obtained for the spin magnetization is 0.0 μB/f.u. The density of states at the Fermi level is 6.00 states/eV per cell. Its crystal system is tetragonal. As for the symmetry: P4/mmm. The calculation puts the excess energy over the best structure of this formula in the dataset at 0 meV per atom.

Compound: PmTmAu
Source: the Alexandria database
Functional: PBE
Structure: relaxed

Lattice parameters (Å, degrees): 3.844 9.595 9.009 90.00 90.00 90.00
Element x y z (fractional)
Pm 0.250 0.825 0.485
Pm 0.750 0.325 0.015
Pm 0.250 0.675 0.985
Pm 0.750 0.175 0.515
Tm 0.750 0.960 0.159
Tm 0.750 0.540 0.659
Tm 0.250 0.040 0.841
Tm 0.250 0.460 0.341
Au 0.750 0.668 0.267
Au 0.750 0.832 0.767
Au 0.250 0.168 0.233
Au 0.250 0.332 0.733

Calculated values
The value obtained for the spin magnetization is 0.0 μB/f.u. The density of states at the Fermi level is 15.03 states/eV per cell. Its crystal system is orthorhombic. As for the symmetry: Pnma. The calculation puts the excess energy over the best structure of this formula in the dataset at 0 meV per atom.

Compound: PmTmAu2
Source: the Alexandria database
Functional: PBE
Structure: relaxed

Lattice parameters (Å, degrees): 5.131 5.131 5.131 60.00 60.00 60.00
Element x y z (fractional)
Tm 0.500 0.500 0.500
Au 0.250 0.250 0.250
Au 0.750 0.750 0.750
Pm 0.000 0.000 0.000

Calculated values
The value obtained for the spin magnetization is 0.0 μB/f.u. The density of states at the Fermi level is 2.83 states/eV per cell. Its crystal system is cubic. As for the symmetry: Fm-3m. The calculation puts the excess energy over the best structure of this formula in the dataset at 29 meV per atom.

Compound: Pm2TmAu2
Source: the Alexandria database
Functional: PBE
Structure: relaxed

Lattice parameters (Å, degrees): 3.889 8.258 8.258 90.00 90.00 90.00
Element x y z (fractional)
Pm 0.500 0.166 0.666
Pm 0.500 0.666 0.834
Pm 0.500 0.834 0.334
Pm 0.500 0.334 0.166
Tm 0.000 0.000 0.000
Tm 0.000 0.500 0.500
Au 0.000 0.369 0.869
Au 0.000 0.869 0.631
Au 0.000 0.631 0.131
Au 0.000 0.131 0.369

Calculated values
The value obtained for the spin magnetization is 0.0 μB/f.u. The density of states at the Fermi level is 11.10 states/eV per cell. Its crystal system is tetragonal. As for the symmetry: P4/mbm. The value obtained for the final energy is -4.770 eV/atom.

Compound: Pm3Tm2Au7
Source: the Alexandria database
Functional: PBE
Structure: relaxed

Lattice parameters (Å, degrees): 5.401 5.064 11.005 103.30 90.00 90.00
Element x y z (fractional)
Pm 0.500 0.500 0.000
Pm 0.500 0.669 0.339
Pm 0.500 0.331 0.661
Tm 0.000 0.859 0.717
Tm 0.000 0.141 0.283
Au 0.000 0.425 0.850
Au 0.000 0.721 0.442
Au 0.000 0.000 0.000
Au 0.000 0.575 0.150
Au 0.500 0.089 0.178
Au 0.500 0.911 0.822
Au 0.000 0.279 0.558

Calculated values
The value obtained for the spin magnetization is 0.0 μB/f.u. The density of states at the Fermi level is 7.26 states/eV per cell. Its crystal system is orthorhombic. As for the symmetry: Cmmm. The value obtained for the final energy is -4.554 eV/atom.

Compound: PmTm5Au6
Source: the Alexandria database
Functional: PBE
Structure: relaxed

Lattice parameters (Å, degrees): 5.073 7.084 8.801 113.73 106.75 90.00
Element x y z (fractional)
Tm 0.665 0.165 0.331
Tm 0.332 0.332 0.665
Tm 0.000 0.500 0.000
Tm 0.668 0.668 0.335
Tm 0.335 0.835 0.669
Au 0.828 0.571 0.657
Au 0.828 0.086 0.657
Au 0.500 0.735 0.000
Au 0.500 0.265 0.000
Au 0.172 0.914 0.343
Au 0.172 0.429 0.343
Pm 0.000 0.000 0.000

Calculated values
The value obtained for the spin magnetization is 0.0 μB/f.u. The density of states at the Fermi level is 5.67 states/eV per cell. Its crystal system is orthorhombic. As for the symmetry: Immm. The value obtained for the final energy is -4.768 eV/atom.

Compound: Pm3TmAu4
Source: the Alexandria database
Functional: PBE
Structure: relaxed

Lattice parameters (Å, degrees): 3.934 7.044 8.851 113.44 102.84 90.00
Element x y z (fractional)
Pm 0.000 0.500 0.000
Pm 0.204 0.203 0.407
Pm 0.796 0.797 0.593
Tm 0.500 0.000 0.000
Au 0.373 0.580 0.746
Au 0.627 0.420 0.254
Au 0.627 0.834 0.254
Au 0.373 0.166 0.746

Calculated values
The value obtained for the spin magnetization is 0.0 μB/f.u. The density of states at the Fermi level is 7.41 states/eV per cell. Its crystal system is orthorhombic. As for the symmetry: Immm. The calculation puts the excess energy over the best structure of this formula in the dataset at 150 meV per atom.

Compound: Pm2TmAu3
Source: the Alexandria database
Functional: PBE
Structure: relaxed

Lattice parameters (Å, degrees): 3.617 3.617 11.089 90.00 90.00 90.00
Element x y z (fractional)
Pm 0.500 0.500 0.829
Pm 0.500 0.500 0.171
Tm 0.500 0.500 0.500
Au 0.000 0.000 0.000
Au 0.000 0.000 0.652
Au 0.000 0.000 0.348

Calculated values
The value obtained for the spin magnetization is 0.0 μB/f.u. The density of states at the Fermi level is 2.51 states/eV per cell. Its crystal system is tetragonal. As for the symmetry: P4/mmm. The calculation puts the excess energy over the best structure of this formula in the dataset at 0 meV per atom.

Compound: Pm2TmAu3
Source: the Alexandria database
Functional: PBE
Structure: relaxed

Lattice parameters (Å, degrees): 3.622 5.140 15.630 90.00 90.00 90.00
Element x y z (fractional)
Pm 0.997 0.000 0.668
Pm 0.997 0.000 0.332
Pm 0.003 0.500 0.168
Pm 0.003 0.500 0.832
Tm 0.997 0.500 0.500
Tm 0.003 0.000 0.000
Au 0.496 0.500 0.655
Au 0.499 0.000 0.500
Au 0.496 0.500 0.345
Au 0.504 0.000 0.155
Au 0.501 0.500 0.000
Au 0.504 0.000 0.845

Calculated values
The value obtained for the spin magnetization is 0.0 μB/f.u. The density of states at the Fermi level is 7.64 states/eV per cell. Its crystal system is orthorhombic. As for the symmetry: Pmmn. The calculation puts the excess energy over the best structure of this formula in the dataset at 8 meV per atom.